Here is a PBEsol-optimized structure of AlNiP from Alexandria via LeMat-Bulk. Energies are from meta-GGA SCAN.

POSCAR file:
```
AlNiP
1.0
3.837 0.000 0.000
1.918 3.323 0.000
1.918 1.108 3.133
Ni Al P
1 1 1
Direct
0.250 0.250 0.250
0.500 0.500 0.500
0.000 0.000 0.000
```

formation energy: -0.596 eV per atom
uncorrected energy: -12.037 eV/atom
DOS(E_F): 0.39 states/eV/cell
space-group type: F-43m, No. 216
V: 13.313 A^3/atom

---

Here is a PBEsol-optimized structure of AlNiP from Alexandria via LeMat-Bulk. Energies are from meta-GGA SCAN.

POSCAR file:
```
AlNiP
1.0
-0.416 -0.886 -2.748
2.109 -1.204 1.618
-3.414 -3.687 1.706
Ni Al P
1 1 1
Direct
0.667 0.333 0.645
0.000 0.000 0.989
0.333 0.667 0.366
```

formation energy: -0.228 eV per atom
uncorrected energy: -11.669 eV/atom
DOS(E_F): 1.45 states/eV/cell
space-group type: P3m1, No. 156
V: 13.039 A^3/atom

---

Here is a PBEsol-optimized structure of AlNi2PRu from Alexandria via LeMat-Bulk. Energies are from meta-GGA SCAN.

POSCAR file:
```
AlNi2PRu
1.0
4.291 0.000 0.000
0.000 4.512 0.000
0.000 0.000 4.512
Ru Al P Ni
1 1 1 2
Direct
0.000 0.000 0.000
0.500 0.500 0.500
0.500 0.000 0.000
0.000 0.000 0.500
0.000 0.500 0.000
```

formation energy: 0.884 eV per atom
uncorrected energy: -16.181 eV/atom
DOS(E_F): 4.17 states/eV/cell
space-group type: P4/mmm, No. 123
V: 17.475 A^3/atom

---

Here is a PBEsol-optimized structure of AlNiP2S from Alexandria via LeMat-Bulk. Energies are from meta-GGA SCAN.

POSCAR file:
```
AlNiP2S
1.0
4.460 0.000 0.000
0.000 4.520 0.000
0.000 0.000 4.520
Ni S Al P
1 1 1 2
Direct
0.500 0.500 0.500
0.500 0.000 0.000
0.000 0.000 0.000
0.000 0.000 0.500
0.000 0.500 0.000
```

uncorrected formation energy: 0.9389 eV per atom
uncorrected energy: -9.931 eV/atom
DOS(E_F): 4.18 states/eV/cell
space-group type: P4/mmm, No. 123
V: 18.220 A^3/atom

---

Here is a PBEsol-optimized structure of AlNiTe2P from Alexandria via LeMat-Bulk. Energies are from meta-GGA SCAN.

POSCAR file:
```
AlNiTe2P
1.0
4.022 0.000 0.000
0.000 5.257 0.000
0.000 0.000 5.257
Ni Te Al P
1 2 1 1
Direct
0.000 0.000 0.000
0.000 0.000 0.500
0.000 0.500 0.000
0.500 0.500 0.500
0.500 0.000 0.000
```

uncorrected formation energy: 0.3129 eV per atom
uncorrected energy: -21.452 eV/atom
DOS(E_F): 2.62 states/eV/cell
space-group type: P4/mmm, No. 123
V: 22.230 A^3/atom

---

Here is a PBEsol-optimized structure of AlNi2Pb from Alexandria via LeMat-Bulk. Energies are from meta-GGA SCAN.

POSCAR file:
```
AlNi2Pb
1.0
4.383 0.000 0.000
2.192 3.744 0.073
2.192 1.237 3.534
Al Ni Pb
1 2 1
Direct
0.500 0.000 0.000
0.258 0.742 0.742
0.742 0.258 0.258
0.000 0.500 0.500
```

formation energy: 0.025 eV per atom
uncorrected energy: -28.945 eV/atom
ΔE to the lowest computed polymorph: 0.0 kJ per mole of atoms
DOS(E_F): 1.36 states/eV/cell
space-group type: Immm, No. 71
V: 14.403 A^3/atom

---

Here is a PBEsol-optimized structure of AlNi2Pb from Alexandria via LeMat-Bulk. Energies are from meta-GGA SCAN.

POSCAR file:
```
AlNi2Pb
1.0
4.390 0.000 0.000
2.195 3.802 0.000
2.195 1.267 3.584
Al Ni Pb
1 2 1
Direct
0.500 0.500 0.500
0.000 0.000 0.000
0.750 0.750 0.750
0.250 0.250 0.250
```

formation energy: 0.305 eV per atom
uncorrected energy: -28.665 eV/atom
ΔE to the lowest computed polymorph: 27.1 kJ per mole of atoms
DOS(E_F): 1.76 states/eV/cell
space-group type: F-43m, No. 216
V: 14.953 A^3/atom

---

Here is a PBEsol-optimized structure of AlNi2Pb from Alexandria via LeMat-Bulk. Energies are from meta-GGA SCAN.

POSCAR file:
```
AlNi2Pb
1.0
3.752 0.000 0.000
0.000 3.752 0.000
-1.876 -1.876 4.131
Al Ni Pb
1 2 1
Direct
0.250 0.750 0.500
0.000 0.000 0.000
0.750 0.250 0.500
0.500 0.500 0.000
```

formation energy: 0.077 eV per atom
uncorrected energy: -28.893 eV/atom
ΔE to the lowest computed polymorph: 5.0 kJ per mole of atoms
DOS(E_F): 1.55 states/eV/cell
space-group type: I-4m2, No. 119
V: 14.536 A^3/atom

---

Here is a PBEsol-optimized structure of TiAl2NiPb from Alexandria via LeMat-Bulk. Energies are from meta-GGA SCAN.

POSCAR file:
```
TiAl2NiPb
1.0
4.389 0.000 0.000
0.000 4.389 0.000
0.000 0.000 5.119
Pb Ni Al Ti
1 1 2 1
Direct
0.000 0.000 0.500
0.000 0.000 0.000
0.000 0.500 0.000
0.500 0.000 0.000
0.500 0.500 0.500
```

formation energy: 0.282 eV per atom
uncorrected energy: -24.416 eV/atom
DOS(E_F): 4.18 states/eV/cell
space-group type: P4/mmm, No. 123
V: 19.718 A^3/atom

---

Here is a PBEsol-optimized structure of Al2Ni2Pd from Alexandria via LeMat-Bulk. Energies are from meta-GGA SCAN.

POSCAR file:
```
Al2Ni2Pd
1.0
2.685 0.000 0.000
0.000 6.824 0.000
0.000 0.000 6.824
Ni Al Pd
4 4 2
Direct
0.000 0.374 0.874
0.000 0.874 0.626
0.000 0.626 0.126
0.000 0.126 0.374
0.500 0.171 0.671
0.500 0.671 0.829
0.500 0.829 0.329
0.500 0.329 0.171
0.000 0.000 0.000
0.000 0.500 0.500
```

formation energy: -0.661 eV per atom
uncorrected energy: -16.786 eV/atom
DOS(E_F): 3.67 states/eV/cell
space-group type: P4/mbm, No. 127
V: 12.503 A^3/atom

---

Here is a PBEsol-optimized structure of Al3NiPd from Alexandria via LeMat-Bulk. Energies are from meta-GGA SCAN.

POSCAR file:
```
Al3NiPd
1.0
-1.320 -3.909 -1.412
0.431 -1.602 4.033
-4.134 1.082 0.871
Ni Al Pd
1 3 1
Direct
0.000 0.000 0.000
0.000 0.500 0.000
0.000 0.000 0.500
0.500 0.000 0.000
0.500 0.500 0.500
```

formation energy: -0.145 eV per atom
uncorrected energy: -14.586 eV/atom
DOS(E_F): 1.68 states/eV/cell
space-group type: Pm-3m, No. 221
V: 16.585 A^3/atom

---

Here is a PBEsol-optimized structure of Al2Ni9Pd from Alexandria via LeMat-Bulk. Energies are from meta-GGA SCAN.

POSCAR file:
```
Al2Ni9Pd
1.0
-3.459 -0.726 -0.294
0.435 -0.678 -3.454
1.937 -10.136 2.233
Ni Al Pd
9 2 1
Direct
0.500 0.500 0.000
0.500 0.500 0.335
0.500 0.500 0.665
0.500 0.000 0.172
0.500 0.000 0.500
0.500 0.000 0.828
0.000 0.500 0.172
0.000 0.500 0.500
0.000 0.500 0.828
0.000 0.000 0.336
0.000 0.000 0.664
0.000 0.000 0.000
```

formation energy: -0.292 eV per atom
uncorrected energy: -16.445 eV/atom
DOS(E_F): 9.21 states/eV/cell
space-group type: P4/mmm, No. 123
V: 11.066 A^3/atom